# Ba3Pr2SmTe6, relaxed, DFT GGA-PBE
data_Ba3Pr2SmTe6
_chemical_formula_sum 'Ba6 Pr4 Sm2 Te12'
_space_group_name_H-M_alt 'C 1 2/m 1'
_space_group_IT_number 12
_cell_length_a 8.0947
_cell_length_b 13.9981
_cell_length_c 8.3503
_cell_angle_alpha 90.00
_cell_angle_beta 108.83
_cell_angle_gamma 90.00
loop_
_space_group_symop_operation_xyz
'x,y,z'
'-x,-y,-z'
'-x,y,-z'
'x,-y,z'
'x+1/2,y+1/2,z'
'-x+1/2,-y+1/2,-z'
'-x+1/2,y+1/2,-z'
'x+1/2,-y+1/2,z'
loop_
_atom_site_label
_atom_site_type_symbol
_atom_site_fract_x
_atom_site_fract_y
_atom_site_fract_z
Ba1 Ba 0.0000 0.0000 0.0000
Ba2 Ba 0.0000 0.3316 0.0000
Pr1 Pr 0.0000 0.1659 0.5000
Sm1 Sm 0.0000 0.5000 0.5000
Te1 Te 0.2390 0.3354 0.7242
Te2 Te 0.2467 0.0000 0.7262
# Crystal system: monoclinic
# Total moment, μB per cell: 0.0
# Calculated total energy, Ha/atom: -0.1772